No. 1
InNi2Mo: optimized geometry, PBE.

a = 2.862 Å, b = 3.337 Å, c = 6.115 Å
α = 90.00°, β = 90.00°, γ = 90.00°
Space group Pmm2 (No. 25)
Inequivalent atoms, fractional coordinates:
In1 0.000 0.000 0.000 x1
Ni1 0.000 0.000 0.537 x1
Ni2 0.500 0.500 0.746 x1
Mo1 0.500 0.500 0.327 x1

Results
As for the energy of formation: 0.112 eV per atom. The value obtained for the magnetic moment is 0.0 μB/f.u.

***

No. 2
InNi2Mo: optimized geometry, PBE.

a = 2.8611 Å, b = 2.8611 Å, c = 25.3798 Å
α = 90.00°, β = 90.00°, γ = 120.00°
Space group R3m (No. 160, hexagonal axes)
Inequivalent atoms, fractional coordinates:
In1 0.0000 0.0000 0.0000 x3
Ni1 0.0000 0.0000 0.2494 x3
Ni2 0.0000 0.0000 0.5086 x3
Mo1 0.0000 0.0000 0.7642 x3

Results
As for the energy of formation: 0.347 eV per atom. The value obtained for the magnetic moment is 0.0 μB/f.u.